Entry 1:
SmAl8Cu4: optimized geometry, PBEsol.

CIF file:
```
data_SmAl8Cu4
_symmetry_space_group_name_H-M 'I 4/m m m'
_symmetry_Int_Tables_number 139
_symmetry_space_group_name_Hall '-I 4 2'
_cell_length_a 8.739
_cell_length_b 8.739
_cell_length_c 5.109
_cell_angle_alpha 90.00
_cell_angle_beta 90.00
_cell_angle_gamma 90.00
loop_
_atom_site_label
_atom_site_fract_x
_atom_site_fract_y
_atom_site_fract_z
_atom_site_occupancy
Sm1 0.000 0.000 0.000 1
Al1 0.000 0.220 0.500 1
Al2 0.000 0.348 0.000 1
Cu1 0.250 0.250 0.250 1
```

Output
Energy of formation from the pure elements, eV/atom: -0.32
DFT total energy, eV per cell: -118.8
DOS at the Fermi energy, states/eV/cell: 6.30
Total magnetic moment, μB per cell: 0.00



Entry 2:
AlCuSn3: optimized geometry, PBEsol.

CIF file:
```
data_AlCuSn3
_symmetry_space_group_name_H-M 'P m -3 m'
_symmetry_Int_Tables_number 221
_symmetry_space_group_name_Hall '-P 4 2 3'
_cell_length_a 5.005
_cell_length_b 5.005
_cell_length_c 5.005
_cell_angle_alpha 90.00
_cell_angle_beta 90.00
_cell_angle_gamma 90.00
loop_
_atom_site_label
_atom_site_fract_x
_atom_site_fract_y
_atom_site_fract_z
_atom_site_occupancy
Al1 0.000 0.000 0.000 1
Cu1 0.500 0.500 0.500 1
Sn1 0.000 0.500 0.500 1
```

Output
Energy of formation from the pure elements, eV/atom: 0.39
DFT total energy, eV per cell: -19.2
DOS at the Fermi energy, states/eV/cell: 2.95
Total magnetic moment, μB per cell: 0.00



Entry 3:
SrAl2Cu2: optimized geometry, PBEsol.

CIF file:
```
data_SrAl2Cu2
_symmetry_space_group_name_H-M 'I 4/m m m'
_symmetry_Int_Tables_number 139
_symmetry_space_group_name_Hall '-I 4 2'
_cell_length_a 4.135
_cell_length_b 4.135
_cell_length_c 10.901
_cell_angle_alpha 90.00
_cell_angle_beta 90.00
_cell_angle_gamma 90.00
loop_
_atom_site_label
_atom_site_fract_x
_atom_site_fract_y
_atom_site_fract_z
_atom_site_occupancy
Sr1 0.000 0.000 0.000 1
Al1 0.000 0.500 0.250 1
Cu1 0.000 0.000 0.381 1
```

Output
Energy of formation from the pure elements, eV/atom: -0.22
DFT total energy, eV per cell: -39.6
DOS at the Fermi energy, states/eV/cell: 5.67
Total magnetic moment, μB per cell: 0.00



Entry 4:
SrAlCu2: optimized geometry, PBEsol.

CIF file:
```
data_SrAlCu2
_symmetry_space_group_name_H-M 'I m m 2'
_symmetry_Int_Tables_number 44
_symmetry_space_group_name_Hall 'I 2 -2'
_cell_length_a 3.366
_cell_length_b 5.048
_cell_length_c 9.032
_cell_angle_alpha 90.00
_cell_angle_beta 90.00
_cell_angle_gamma 90.00
loop_
_atom_site_label
_atom_site_fract_x
_atom_site_fract_y
_atom_site_fract_z
_atom_site_occupancy
Sr1 0.000 0.000 0.000 1
Al1 0.000 0.500 0.798 1
Cu1 0.000 0.000 0.511 1
Cu2 0.000 0.500 0.209 1
```

Output
Energy of formation from the pure elements, eV/atom: 0.20
DFT total energy, eV per cell: -27.6
DOS at the Fermi energy, states/eV/cell: 3.90
Total magnetic moment, μB per cell: 0.00



Entry 5:
SrAl3Cu: optimized geometry, PBEsol.

CIF file:
```
data_SrAl3Cu
_symmetry_space_group_name_H-M 'P m -3 m'
_symmetry_Int_Tables_number 221
_symmetry_space_group_name_Hall '-P 4 2 3'
_cell_length_a 4.714
_cell_length_b 4.714
_cell_length_c 4.714
_cell_angle_alpha 90.00
_cell_angle_beta 90.00
_cell_angle_gamma 90.00
loop_
_atom_site_label
_atom_site_fract_x
_atom_site_fract_y
_atom_site_fract_z
_atom_site_occupancy
Sr1 0.000 0.000 0.000 1
Al1 0.000 0.500 0.500 1
Cu1 0.500 0.500 0.500 1
```

Output
Energy of formation from the pure elements, eV/atom: 0.02
DFT total energy, eV per cell: -18.3
DOS at the Fermi energy, states/eV/cell: 3.29
Total magnetic moment, μB per cell: 0.00



Entry 6:
SrAlCu2: optimized geometry, PBEsol.

CIF file:
```
data_SrAlCu2
_symmetry_space_group_name_H-M 'I -4 m 2'
_symmetry_Int_Tables_number 119
_symmetry_space_group_name_Hall 'I -4 -2'
_cell_length_a 4.408
_cell_length_b 4.408
_cell_length_c 7.689
_cell_angle_alpha 90.00
_cell_angle_beta 90.00
_cell_angle_gamma 90.00
loop_
_atom_site_label
_atom_site_fract_x
_atom_site_fract_y
_atom_site_fract_z
_atom_site_occupancy
Sr1 0.000 0.000 0.000 1
Al1 0.000 0.500 0.250 1
Cu1 0.000 0.000 0.500 1
Cu2 0.000 0.500 0.750 1
```

Output
Energy of formation from the pure elements, eV/atom: 0.28
DFT total energy, eV per cell: -26.9
DOS at the Fermi energy, states/eV/cell: 3.69
Total magnetic moment, μB per cell: 0.00



Entry 7:
SrAl3Cu: optimized geometry, PBEsol.

CIF file:
```
data_SrAl3Cu
_symmetry_space_group_name_H-M 'P m -3 m'
_symmetry_Int_Tables_number 221
_symmetry_space_group_name_Hall '-P 4 2 3'
_cell_length_a 5.680
_cell_length_b 5.680
_cell_length_c 5.680
_cell_angle_alpha 90.00
_cell_angle_beta 90.00
_cell_angle_gamma 90.00
loop_
_atom_site_label
_atom_site_fract_x
_atom_site_fract_y
_atom_site_fract_z
_atom_site_occupancy
Sr1 0.000 0.000 0.000 1
Al1 0.000 0.000 0.500 1
Cu1 0.500 0.500 0.500 1
```

Output
Energy of formation from the pure elements, eV/atom: 1.84
DFT total energy, eV per cell: -9.2
DOS at the Fermi energy, states/eV/cell: 6.41
Total magnetic moment, μB per cell: 0.00



Entry 8:
Sr2AlCu: optimized geometry, PBEsol.

CIF file:
```
data_Sr2AlCu
_symmetry_space_group_name_H-M 'A m m 2'
_symmetry_Int_Tables_number 38
_symmetry_space_group_name_Hall 'A 2 -2'
_cell_length_a 4.266
_cell_length_b 4.976
_cell_length_c 11.109
_cell_angle_alpha 90.00
_cell_angle_beta 90.00
_cell_angle_gamma 90.00
loop_
_atom_site_label
_atom_site_fract_x
_atom_site_fract_y
_atom_site_fract_z
_atom_site_occupancy
Sr1 0.000 0.000 0.000 1
Sr2 0.500 0.000 0.291 1
Al1 0.000 0.000 0.693 1
Cu1 0.500 0.000 0.589 1
```

Output
Energy of formation from the pure elements, eV/atom: -0.08
DFT total energy, eV per cell: -24.8
DOS at the Fermi energy, states/eV/cell: 5.08
Total magnetic moment, μB per cell: 0.00



Copy entry 7 word for word.
SrAl3Cu: optimized geometry, PBEsol.

CIF file:
```
data_SrAl3Cu
_symmetry_space_group_name_H-M 'P m -3 m'
_symmetry_Int_Tables_number 221
_symmetry_space_group_name_Hall '-P 4 2 3'
_cell_length_a 5.680
_cell_length_b 5.680
_cell_length_c 5.680
_cell_angle_alpha 90.00
_cell_angle_beta 90.00
_cell_angle_gamma 90.00
loop_
_atom_site_label
_atom_site_fract_x
_atom_site_fract_y
_atom_site_fract_z
_atom_site_occupancy
Sr1 0.000 0.000 0.000 1
Al1 0.000 0.000 0.500 1
Cu1 0.500 0.500 0.500 1
```

Output
Energy of formation from the pure elements, eV/atom: 1.84
DFT total energy, eV per cell: -9.2
DOS at the Fermi energy, states/eV/cell: 6.41
Total magnetic moment, μB per cell: 0.00



Copy entry 2 word for word.
AlCuSn3: optimized geometry, PBEsol.

CIF file:
```
data_AlCuSn3
_symmetry_space_group_name_H-M 'P m -3 m'
_symmetry_Int_Tables_number 221
_symmetry_space_group_name_Hall '-P 4 2 3'
_cell_length_a 5.005
_cell_length_b 5.005
_cell_length_c 5.005
_cell_angle_alpha 90.00
_cell_angle_beta 90.00
_cell_angle_gamma 90.00
loop_
_atom_site_label
_atom_site_fract_x
_atom_site_fract_y
_atom_site_fract_z
_atom_site_occupancy
Al1 0.000 0.000 0.000 1
Cu1 0.500 0.500 0.500 1
Sn1 0.000 0.500 0.500 1
```

Output
Energy of formation from the pure elements, eV/atom: 0.39
DFT total energy, eV per cell: -19.2
DOS at the Fermi energy, states/eV/cell: 2.95
Total magnetic moment, μB per cell: 0.00



Please write out number 2 again, unchanged.
AlCuSn3: optimized geometry, PBEsol.

CIF file:
```
data_AlCuSn3
_symmetry_space_group_name_H-M 'P m -3 m'
_symmetry_Int_Tables_number 221
_symmetry_space_group_name_Hall '-P 4 2 3'
_cell_length_a 5.005
_cell_length_b 5.005
_cell_length_c 5.005
_cell_angle_alpha 90.00
_cell_angle_beta 90.00
_cell_angle_gamma 90.00
loop_
_atom_site_label
_atom_site_fract_x
_atom_site_fract_y
_atom_site_fract_z
_atom_site_occupancy
Al1 0.000 0.000 0.000 1
Cu1 0.500 0.500 0.500 1
Sn1 0.000 0.500 0.500 1
```

Output
Energy of formation from the pure elements, eV/atom: 0.39
DFT total energy, eV per cell: -19.2
DOS at the Fermi energy, states/eV/cell: 2.95
Total magnetic moment, μB per cell: 0.00